An optimized crystal structure of MoPtW. Source: the Alexandria database, functional PBE.

a = 2.718 Å, b = 2.718 Å, c = 12.819 Å
α = 90.00°, β = 90.00°, γ = 90.00°
Space group I4mm (No. 107)
One atom of each set of equivalent atoms:
Mo1 0.000 0.000 0.000 [2 per cell]
Pt1 0.000 0.000 0.663 [2 per cell]
W1 0.000 0.000 0.325 [2 per cell]

Values from the calculation:
energy relative to the elements = -100 meV/atom